Record 1
# InTe2ICl | the Alexandria database | PBE | optimized geometry
data_InTe2ICl
_chemical_formula_sum 'In1 Te2 I1 Cl1'
_cell_length_a 5.8423
_cell_length_b 5.8423
_cell_length_c 5.8035
_cell_angle_alpha 90.00
_cell_angle_beta 90.00
_cell_angle_gamma 90.00
_space_group_name_H-M_alt 'P 4/m m m'
_space_group_IT_number 123
_space_group_name_Hall '-P 4 2'
loop_
_atom_site_label
_atom_site_type_symbol
_atom_site_fract_x
_atom_site_fract_y
_atom_site_fract_z
_atom_site_occupancy
In1 In 0.0000 0.0000 0.0000 1
Te1 Te 0.0000 0.5000 0.0000 1
I1 I 0.0000 0.0000 0.5000 1
Cl1 Cl 0.5000 0.5000 0.5000 1
# energy relative to the elements, uncorrected = 337 meV/atom
# relative energy among the computed polymorphs = 0.021 eV/atom

Record 2
# LiCu2Ni | the Alexandria database | PBE | optimized geometry
data_LiCu2Ni
_chemical_formula_sum 'Li1 Cu2 Ni1'
_cell_length_a 2.9409
_cell_length_b 2.9409
_cell_length_c 5.4020
_cell_angle_alpha 90.00
_cell_angle_beta 90.00
_cell_angle_gamma 90.00
_space_group_name_H-M_alt 'P 4 m m'
_space_group_IT_number 99
loop_
_space_group_symop_operation_xyz
'x,y,z'
'-y,x,z'
'-x,-y,z'
'y,-x,z'
'-x,y,z'
'y,x,z'
'x,-y,z'
'-y,-x,z'
loop_
_atom_site_label
_atom_site_type_symbol
_atom_site_fract_x
_atom_site_fract_y
_atom_site_fract_z
_atom_site_occupancy
Li1 Li 0.0000 0.0000 0.0000 1
Cu1 Cu 0.0000 0.0000 0.4914 1
Cu2 Cu 0.5000 0.5000 0.7461 1
Ni1 Ni 0.5000 0.5000 0.2466 1
# formation enthalpy at 0 K = 0.052 eV per atom
# relative energy among the computed polymorphs = 0.098 eV/atom

Record 3
# Th2Ge4RuRh3 | the Alexandria database | PBE | optimized geometry
data_Th2Ge4RuRh3
_chemical_formula_sum 'Th2 Ge4 Ru1 Rh3'
_cell_length_a 4.2898
_cell_length_b 4.2898
_cell_length_c 10.0552
_cell_angle_alpha 90.00
_cell_angle_beta 90.00
_cell_angle_gamma 90.00
_space_group_name_H-M_alt 'P -4 m 2'
_space_group_IT_number 115
loop_
_space_group_symop_operation_xyz
'x,y,z'
'y,-x,-z'
'-x,-y,z'
'-y,x,-z'
'-x,y,z'
'-y,-x,-z'
'x,-y,z'
'y,x,-z'
loop_
_atom_site_label
_atom_site_type_symbol
_atom_site_fract_x
_atom_site_fract_y
_atom_site_fract_z
_atom_site_occupancy
Th1 Th 0.0000 0.5000 0.2482 1
Ge1 Ge 0.0000 0.0000 0.0000 1
Ge2 Ge 0.0000 0.5000 0.6272 1
Ge3 Ge 0.5000 0.5000 0.0000 1
Ru1 Ru 0.0000 0.0000 0.5000 1
Rh1 Rh 0.0000 0.5000 0.8713 1
Rh2 Rh 0.5000 0.5000 0.5000 1
# formation enthalpy at 0 K = -0.845 eV per atom

Record 4
# YZrHg2 | the Alexandria database | PBE | optimized geometry
data_YZrHg2
_chemical_formula_sum 'Y1 Zr1 Hg2'
_cell_length_a 3.6250
_cell_length_b 5.1233
_cell_length_c 5.1234
_cell_angle_alpha 90.00
_cell_angle_beta 90.00
_cell_angle_gamma 90.00
_space_group_name_H-M_alt 'P m m 2'
_space_group_IT_number 25
loop_
_space_group_symop_operation_xyz
'x,y,z'
'-x,-y,z'
'-x,y,z'
'x,-y,z'
loop_
_atom_site_label
_atom_site_type_symbol
_atom_site_fract_x
_atom_site_fract_y
_atom_site_fract_z
_atom_site_occupancy
Y1 Y 0.0000 0.0000 0.0000 1
Zr1 Zr 0.0000 0.5000 0.5018 1
Hg1 Hg 0.5000 0.0000 0.4999 1
Hg2 Hg 0.5000 0.5000 0.0022 1
# formation enthalpy at 0 K = -0.273 eV per atom
# relative energy among the computed polymorphs = 0.007 eV/atom

no.,calculated total energy (eV for the cell shown)
1,-10.7
2,-15.7
3,-73.1
4,-16.7